No. 1
Sr5Mg3 | PBE | relaxed

The value obtained for the energy above the most stable polymorph in this dataset is 0.034 eV/atom. Its crystal system is monoclinic. Its uncorrected energy is -1.659 eV per atom. For the formation energy, the calculation gives -0.0100 eV per atom.

The structure belongs to space group C2/m (No. 12); the cell edges are 7.017, 19.659 and 10.411 Å and the angles 90.00°, 109.52° and 90.00°. The asymmetric unit holds Sr at (0.102, 0.181, 0.204), Sr at (0.182, 0.398, 0.362), Sr at (0.250, 0.000, 0.000), Mg at (0.000, 0.250, 0.500), Mg at (0.000, 0.337, 0.000) and Mg at (0.162, 0.000, 0.326).



No. 2
NpScAl4 | PBE | relaxed

Its crystal system is cubic. Its uncorrected energy is -5.922 eV per atom. For the formation energy, the calculation gives -0.2145 eV per atom.

The structure belongs to space group F-43m (No. 216); the cell edges are 7.711, 7.711 and 7.711 Å and the angles 90.00°, 90.00° and 90.00°. The asymmetric unit holds Np at (0.000, 0.000, 0.000), Sc at (0.250, 0.250, 0.750) and Al at (0.125, 0.125, 0.375).



No. 3
SrMn2Co | PBE | relaxed

The value obtained for the energy above the most stable polymorph in this dataset is 0.442 eV/atom. Its crystal system is monoclinic. Its uncorrected energy is -6.036 eV per atom. For the formation energy, the calculation gives 0.7456 eV per atom.

The structure belongs to space group P2/m (No. 10); the cell edges are 3.267, 4.248 and 5.708 Å and the angles 90.00°, 103.05° and 90.00°. The asymmetric unit holds Sr at (0.000, 0.000, 0.000), Mn at (0.288, 0.500, 0.613) and Co at (0.500, 0.000, 0.500).



No. 4
TiInGe2Os | PBE | relaxed

Its crystal system is tetragonal. Its uncorrected energy is -5.869 eV per atom. For the formation energy, the calculation gives 0.3506 eV per atom.

The structure belongs to space group P4/mmm (No. 123); the cell edges are 4.760, 4.760 and 4.969 Å and the angles 90.00°, 90.00° and 90.00°. The asymmetric unit holds Ti at (0.000, 0.000, 0.000), In at (0.500, 0.500, 0.000), Ge at (0.000, 0.500, 0.500) and Os at (0.000, 0.000, 0.500).



No. 5
CrBr3 | PBE | relaxed

Its crystal system is orthorhombic. Its uncorrected energy is -3.687 eV per atom. The calculation puts the uncorrected formation energy at -0.027 eV/atom.

The structure belongs to space group Cmcm (No. 63); the cell edges are 11.692, 11.851 and 4.989 Å and the angles 90.00°, 90.00° and 90.00°. The asymmetric unit holds Cr at (0.000, 0.018, 0.250), Br at (0.000, 0.471, 0.250) and Br at (0.158, 0.131, 0.250).



No. 6
NaAlTe2 | PBE | relaxed

Its crystal system is triclinic. Its uncorrected energy is -3.503 eV per atom. The calculation puts the uncorrected formation energy at -0.667 eV/atom.

The structure belongs to space group P1 (No. 1); the cell edges are 6.803, 6.926 and 8.158 Å and the angles 65.59°, 73.93° and 64.90°. The asymmetric unit holds Na at (0.000, 0.000, 0.000), Na at (0.047, 0.245, 0.377), Al at (0.281, 0.612, 0.689), Al at (0.766, 0.632, 0.687), Te at (0.071, 0.721, 0.414), Te at (0.376, 0.953, 0.673), Te at (0.671, 0.291, 0.704) and Te at (0.976, 0.523, 0.962).



No. 7
SrInN3 | PBE | relaxed

Its crystal system is cubic. Its uncorrected energy is -4.954 eV per atom. The calculation puts the uncorrected formation energy at 0.925 eV/atom.

The structure belongs to space group Pm-3m (No. 221); the cell edges are 4.312, 4.312 and 4.312 Å and the angles 90.00°, 90.00° and 90.00°. The asymmetric unit holds Sr at (0.000, 0.000, 0.000), In at (0.500, 0.500, 0.500) and N at (0.000, 0.500, 0.500).



No. 8
CaVH | PBE | relaxed

The value obtained for the energy above the most stable polymorph in this dataset is 0.178 eV/atom. Its crystal system is triclinic. Its uncorrected energy is -4.736 eV per atom.

The structure belongs to space group P1 (No. 1); the cell edges are 4.355, 4.366 and 6.104 Å and the angles 105.27°, 104.34° and 106.42°. The asymmetric unit holds Ca at (0.000, 0.000, 0.000), Ca at (0.314, 0.324, 0.639), V at (0.518, 0.800, 0.320), V at (0.796, 0.523, 0.319), H at (0.057, 0.558, 0.114) and H at (0.757, 0.266, 0.522).



No. 9
NaNpS3 | PBE | relaxed

The value obtained for the energy above the most stable polymorph in this dataset is 0.000 eV/atom. Its crystal system is monoclinic. Its uncorrected energy is -6.403 eV per atom. The calculation puts the uncorrected formation energy at -1.075 eV/atom.

The structure belongs to space group P2_1/m (No. 11); the cell edges are 7.273, 3.997 and 9.623 Å and the angles 90.00°, 102.33° and 90.00°. The asymmetric unit holds Na at (0.212, 0.250, 0.437), Np at (0.364, 0.250, 0.825), S at (0.039, 0.250, 0.692), S at (0.302, 0.750, 0.994) and S at (0.447, 0.750, 0.671).



No. 10
Pb3ClO | PBE | relaxed

The value obtained for the energy above the most stable polymorph in this dataset is 0.000 eV/atom. Its crystal system is cubic. Its uncorrected energy is -3.906 eV per atom. The calculation puts the uncorrected formation energy at -0.320 eV/atom.

The structure belongs to space group Pm-3m (No. 221); the cell edges are 5.136, 5.136 and 5.136 Å and the angles 90.00°, 90.00° and 90.00°. The asymmetric unit holds Pb at (0.000, 0.000, 0.500), Cl at (0.500, 0.500, 0.500) and O at (0.000, 0.000, 0.000).



No. 11
ThFe2 | PBE | relaxed

Its crystal system is cubic. Its uncorrected energy is -8.157 eV per atom. For the formation energy, the calculation gives -0.0420 eV per atom.

The structure belongs to space group Fd-3m (No. 227, origin choice 2); the cell edges are 7.397, 7.397 and 7.397 Å and the angles 90.00°, 90.00° and 90.00°. The asymmetric unit holds Th at (0.125, 0.125, 0.125) and Fe at (0.000, 0.000, 0.500).



No. 12
Mg4H5Ir | PBE | relaxed

The value obtained for the energy above the most stable polymorph in this dataset is 0.012 eV/atom. Its crystal system is triclinic. Its uncorrected energy is -3.487 eV per atom.

The structure belongs to space group P1 (No. 1); the cell edges are 4.873, 5.118 and 5.122 Å and the angles 66.30°, 84.49° and 84.49°. The asymmetric unit holds Mg at (0.000, 0.000, 0.000), Mg at (0.000, 0.481, 0.518), Mg at (0.427, 0.004, 0.379), Mg at (0.574, 0.621, 0.997), H at (0.040, 0.882, 0.404), H at (0.248, 0.371, 0.929), H at (0.504, 0.534, 0.468), H at (0.752, 0.069, 0.630), H at (0.961, 0.595, 0.117) and Ir at (0.500, 0.228, 0.772).



No. 13
ThZnPtPb | PBE | relaxed

Its crystal system is cubic. Its uncorrected energy is -5.123 eV per atom. For the formation energy, the calculation gives -0.5125 eV per atom.

The structure belongs to space group F-43m (No. 216); the cell edges are 7.124, 7.124 and 7.124 Å and the angles 90.00°, 90.00° and 90.00°. The asymmetric unit holds Th at (0.000, 0.000, 0.000), Zn at (0.250, 0.250, 0.750), Pt at (0.250, 0.250, 0.250) and Pb at (0.000, 0.000, 0.500).



No. 14
ZrAlCr2 | PBE | relaxed

Its crystal system is monoclinic. Its uncorrected energy is -7.718 eV per atom. For the formation energy, the calculation gives 0.1659 eV per atom.

The structure belongs to space group P2/m (No. 10); the cell edges are 2.718, 4.101 and 5.680 Å and the angles 90.00°, 103.03° and 90.00°. The asymmetric unit holds Zr at (0.000, 0.000, 0.000), Al at (0.500, 0.000, 0.500) and Cr at (0.176, 0.500, 0.695).



No. 15
CaPuPdRh | PBE | relaxed

The value obtained for the energy above the most stable polymorph in this dataset is 0.057 eV/atom. Its crystal system is cubic. Its uncorrected energy is -7.642 eV per atom. For the formation energy, the calculation gives -0.4221 eV per atom.

The structure belongs to space group F-43m (No. 216); the cell edges are 6.945, 6.945 and 6.945 Å and the angles 90.00°, 90.00° and 90.00°. The asymmetric unit holds Ca at (0.000, 0.000, 0.000), Pu at (0.000, 0.000, 0.500), Pd at (0.250, 0.250, 0.750) and Rh at (0.250, 0.250, 0.250).



No. 16
CaNd7Ho2 | PBE | relaxed

The value obtained for the energy above the most stable polymorph in this dataset is 0.000 eV/atom. Its crystal system is triclinic. Its uncorrected energy is -4.367 eV per atom. For the formation energy, the calculation gives 0.0862 eV per atom.

The structure belongs to space group P-1 (No. 2); the cell edges are 6.672, 6.723 and 8.647 Å and the angles 72.88°, 71.74° and 83.66°. The asymmetric unit holds Ca at (0.000, 0.000, 0.000), Nd at (0.000, 0.000, 0.500), Nd at (0.207, 0.592, 0.769), Nd at (0.226, 0.542, 0.341), Nd at (0.420, 0.236, 0.064) and Ho at (0.427, 0.144, 0.634).



No. 17
BaPt | PBE | relaxed

Its crystal system is orthorhombic. Its uncorrected energy is -4.622 eV per atom. For the formation energy, the calculation gives -0.6402 eV per atom.

The structure belongs to space group Immm (No. 71); the cell edges are 4.115, 5.077 and 17.397 Å and the angles 90.00°, 90.00° and 90.00°. The asymmetric unit holds Ba at (0.000, 0.000, 0.000), Ba at (0.000, 0.500, 0.167), Pt at (0.000, 0.000, 0.500) and Pt at (0.000, 0.500, 0.354).



No. 18
SiHg2Mo | PBE | relaxed

Its crystal system is monoclinic. Its uncorrected energy is -3.592 eV per atom. The calculation puts the uncorrected formation energy at 0.623 eV/atom.

The structure belongs to space group C2/m (No. 12); the cell edges are 5.418, 9.603 and 2.976 Å and the angles 90.00°, 104.45° and 90.00°. The asymmetric unit holds Si at (0.000, 0.000, 0.000), Hg at (0.250, 0.250, 0.500) and Mo at (0.000, 0.500, 0.000).



No. 19
LaDy4Hg | PBE | relaxed

The value obtained for the energy above the most stable polymorph in this dataset is 0.086 eV/atom. Its crystal system is monoclinic. Its uncorrected energy is -3.992 eV per atom. For the formation energy, the calculation gives -0.0520 eV per atom.

The structure belongs to space group C2/c (No. 15); the cell edges are 8.823, 13.996 and 6.381 Å and the angles 90.00°, 109.16° and 90.00°. The asymmetric unit holds La at (0.000, 0.097, 0.250), Dy at (0.099, 0.313, 0.548), Dy at (0.221, 0.117, 0.870) and Hg at (0.000, 0.499, 0.250).



No. 20
Rb3AgTe2O8 | PBE | relaxed

Its crystal system is trigonal. Its uncorrected energy is -4.843 eV per atom. The calculation puts the uncorrected formation energy at -1.150 eV/atom.

The structure belongs to space group P-3m1 (No. 164); the cell edges are 6.3096, 6.3096 and 8.1313 Å and the angles 90.00°, 90.00° and 120.00°. The asymmetric unit holds Rb at (0.0000, 0.0000, 0.0000), Rb at (0.3333, 0.6667, 0.6613), Ag at (0.0000, 0.0000, 0.5000), Te at (0.3333, 0.6667, 0.2207), O at (0.1748, 0.3496, 0.3044) and O at (0.3333, 0.6667, 0.9948).



No. 21
Tb4Al12Ru | PBE | relaxed

Its crystal system is cubic. Its uncorrected energy is -4.777 eV per atom. For the formation energy, the calculation gives -0.4998 eV per atom.

The structure belongs to space group Im-3m (No. 229); the cell edges are 8.662, 8.662 and 8.662 Å and the angles 90.00°, 90.00° and 90.00°. The asymmetric unit holds Tb at (0.250, 0.250, 0.250), Al at (0.000, 0.000, 0.285), Al at (0.000, 0.250, 0.500) and Ru at (0.000, 0.000, 0.000).



No. 22
K2BaNaTe | PBE | relaxed

Its crystal system is tetragonal. Its uncorrected energy is -2.238 eV per atom. The calculation puts the uncorrected formation energy at -0.523 eV/atom.

The structure belongs to space group P4/mmm (No. 123); the cell edges are 6.757, 6.757 and 6.726 Å and the angles 90.00°, 90.00° and 90.00°. The asymmetric unit holds K at (0.000, 0.500, 0.000), Ba at (0.000, 0.000, 0.500), Na at (0.500, 0.500, 0.500) and Te at (0.000, 0.000, 0.000).



No. 23
Zr2NpN | PBE | relaxed

Its crystal system is trigonal. Its uncorrected energy is -10.200 eV per atom. The calculation puts the uncorrected formation energy at -0.609 eV/atom.

The structure belongs to space group R-3m (No. 166, hexagonal axes); the cell edges are 3.2178, 3.2178 and 24.9580 Å and the angles 90.00°, 90.00° and 120.00°. The asymmetric unit holds Zr at (0.0000, 0.0000, 0.2194), Np at (0.0000, 0.0000, 0.0000) and N at (0.0000, 0.0000, 0.5000).



No. 24
Ce4Ho2N | PBE | relaxed

Its crystal system is tetragonal. Its uncorrected energy is -6.056 eV per atom. The calculation puts the uncorrected formation energy at -0.168 eV/atom.

The structure belongs to space group I4/mmm (No. 139); the cell edges are 4.889, 4.889 and 16.582 Å and the angles 90.00°, 90.00° and 90.00°. The asymmetric unit holds Ce at (0.000, 0.000, 0.141), Ce at (0.000, 0.500, 0.000), Ho at (0.000, 0.000, 0.346) and N at (0.000, 0.000, 0.000).



No. 25
NbCuRe3 | PBE | relaxed

The value obtained for the energy above the most stable polymorph in this dataset is 0.910 eV/atom. Its crystal system is cubic. Its uncorrected energy is -7.734 eV per atom. For the formation energy, the calculation gives 2.5678 eV per atom.

The structure belongs to space group Pm-3m (No. 221); the cell edges are 4.742, 4.742 and 4.742 Å and the angles 90.00°, 90.00° and 90.00°. The asymmetric unit holds Nb at (0.000, 0.000, 0.000), Cu at (0.500, 0.500, 0.500) and Re at (0.000, 0.000, 0.500).